The following is a DFT calculation (PBE-GGA) of Te2RhPb after structural relaxation.

Cell: 5.251 5.251 3.569 Å, 90.00 90.00 90.00°
Fractional coordinates of all 4 atoms:
Te: 0.000 0.500 0.000
Te: 0.500 0.000 0.000
Rh: 0.000 0.000 0.500
Pb: 0.500 0.500 0.500

Properties
Size of the total moment = 0.0 μB per cell
Uncorrected energy = -4.1153 eV per atom